(1)
# Ac3Cd2Sn3

Ac3Cd2Sn3 after structural relaxation (PBE, the Alexandria database).

```
16
Lattice="2.435 -6.291 0.000 2.435 6.291 0.000 0.000 0.000 16.537" Properties=species:S:1:pos:R:3 pbc="T T T"
Ac 2.435 5.404 10.116
Ac 2.435 5.404 14.689
Ac 2.435 1.842 12.403
Ac 2.435 -1.842 4.134
Ac 2.435 -5.404 1.848
Ac 2.435 -5.404 6.421
Cd 2.435 3.427 1.631
Cd 2.435 3.427 6.637
Cd 2.435 -3.427 9.900
Cd 2.435 -3.427 14.906
Sn 2.435 1.730 4.134
Sn 2.435 1.495 8.984
Sn 2.435 1.495 15.821
Sn 2.435 -1.495 0.716
Sn 2.435 -1.495 7.552
Sn 2.435 -1.730 12.403
```

Output
Crystal system ... orthorhombic
Density of states at the Fermi level ... 4.31 states/eV/f.u.
SG ... Cmcm, No. 63
Calculated total energy ... -3.846 eV per atom

---

(2)
# LaSm2Y3P6

LaSm2Y3P6 after structural relaxation (PBE, the Alexandria database).

```
12
Lattice="3.543 -6.136 0.000 3.543 6.136 0.000 -2.361 0.000 6.676" Properties=species:S:1:pos:R:3 pbc="T T T"
La 0.000 0.000 0.000
Sm 3.543 2.047 0.000
Sm 3.543 -2.047 0.000
Y 2.363 4.097 3.338
Y 2.363 0.000 3.338
Y 2.363 -4.097 3.338
P 1.196 2.071 1.722
P 0.030 0.000 4.955
P 1.196 -2.071 1.722
P 3.529 2.071 4.954
P 4.695 0.000 1.721
P 3.529 -2.071 4.954
```

Output
Crystal system ... monoclinic
Density of states at the Fermi level ... 1.43 states/eV/f.u.
SG ... C2/m, No. 12
Calculated total energy ... -7.111 eV per atom

---

(3)
# TbPm2Y

TbPm2Y after structural relaxation (PBE, the Alexandria database).

```
4
Lattice="3.610 0.000 0.000 0.000 3.610 0.000 0.000 0.000 10.202" Properties=species:S:1:pos:R:3 pbc="T T T"
Tb 0.000 0.000 0.000
Pm 1.805 1.805 2.543
Pm 1.805 1.805 7.659
Y 0.000 0.000 5.101
```

Output
Crystal system ... tetragonal
Density of states at the Fermi level ... 5.62 states/eV/f.u.
SG ... P4/mmm, No. 123
Calculated total energy ... -5.132 eV per atom

---

(4)
# HgSb2W

HgSb2W after structural relaxation (PBE, the Alexandria database).

```
4
Lattice="1.671 0.965 10.705 -1.671 0.965 10.705 0.000 -1.930 10.705" Properties=species:S:1:pos:R:3 pbc="T T T"
Hg 0.000 0.000 0.000
Sb 0.000 0.000 7.380
Sb 0.000 0.000 24.736
W 0.000 0.000 16.058
```

Output
E_form (uncorrected) ... 278 meV per atom
Crystal system ... trigonal
Density of states at the Fermi level ... 2.38 states/eV/f.u.
SG ... R-3m, No. 166